(1)
## TbBi2PbO6 (PBE-GGA)

Data for a geometry-optimized TbBi2PbO6 structure.

Geometry as CIF:
```
data_TbBi2PbO6
_symmetry_space_group_name_H-M 'R 3'
_symmetry_Int_Tables_number 146
_symmetry_space_group_name_Hall 'R 3'
_cell_length_a 6.1318
_cell_length_b 6.1318
_cell_length_c 15.3062
_cell_angle_alpha 90.00
_cell_angle_beta 90.00
_cell_angle_gamma 120.00
loop_
_atom_site_label
_atom_site_type_symbol
_atom_site_fract_x
_atom_site_fract_y
_atom_site_fract_z
Tb1 Tb 0.0000 0.0000 0.0000
Bi1 Bi 0.0000 0.0000 0.2871
Bi2 Bi 0.0000 0.0000 0.7830
Pb1 Pb 0.0000 0.0000 0.5040
O1 O 0.0681 0.6960 0.0538
O2 O 0.0691 0.3944 0.5548
```

**E_form (uncorrected)**: -161 kJ/mol of atoms
**Size of the total moment**: 0.09 μB/atom
**Crystal system**: trigonal


(2)
## TcBiPb2O6 (PBE-GGA)

Data for a geometry-optimized TcBiPb2O6 structure.

Geometry as CIF:
```
data_TcBiPb2O6
_symmetry_space_group_name_H-M 'C 1 m 1'
_symmetry_Int_Tables_number 8
_cell_length_a 8.275
_cell_length_b 8.281
_cell_length_c 6.011
_cell_angle_alpha 90.00
_cell_angle_beta 126.02
_cell_angle_gamma 90.00
loop_
_symmetry_equiv_pos_as_xyz
'x,y,z'
'x,-y,z'
'x+1/2,y+1/2,z'
'x+1/2,-y+1/2,z'
loop_
_atom_site_label
_atom_site_type_symbol
_atom_site_fract_x
_atom_site_fract_y
_atom_site_fract_z
Tc1 Tc 0.000 0.000 0.000
Bi1 Bi 0.421 0.000 0.874
Pb1 Pb 0.400 0.277 0.357
O1 O 0.020 0.239 0.060
O2 O 0.155 0.000 0.448
O3 O 0.269 0.000 0.083
O4 O 0.274 0.500 0.044
O5 O 0.348 0.500 0.624
```

**E_form (uncorrected)**: -115 kJ/mol of atoms
**Size of the total moment**: 0.20 μB/atom
**Crystal system**: monoclinic